Compound: CaPr4Er3Te8
Source: Alexandria via LeMat-Bulk
Functional: PBE
Structure: optimized geometry

## Properties
N(E_F): 0.592 states/eV/atom
DFT total energy: -5.124 eV/atom
formation energy (no corrections): -1378 meV per atom

Cell and atoms, written as CIF:
```
data_CaPr4Er3Te8
_cell_length_a 8.7511
_cell_length_b 8.7511
_cell_length_c 22.4922
_cell_angle_alpha 90.00
_cell_angle_beta 90.00
_cell_angle_gamma 120.00
_space_group_name_H-M_alt 'R -3 m'
_space_group_IT_number 166
_space_group_name_Hall '-R 3 2"'
loop_
_atom_site_label
_atom_site_type_symbol
_atom_site_fract_x
_atom_site_fract_y
_atom_site_fract_z
Ca1 Ca 0.0000 0.0000 0.0000
Pr1 Pr 0.0000 0.0000 0.5000
Pr2 Pr 0.0000 0.5000 0.5000
Er1 Er 0.0000 0.5000 0.0000
Te1 Te 0.0000 0.0000 0.2560
Te2 Te 0.0030 0.5015 0.2554
```

Compound: ZnGa4Hg
Source: Alexandria via LeMat-Bulk
Functional: PBE
Structure: optimized geometry

## Properties
N(E_F): 0.351 states/eV/atom
ΔH_f (0 K): 0.07 eV/atom
energy above the most stable polymorph in this dataset: 0 kJ/mol of formula units
DFT total energy: -2.211 eV/atom

Cell and atoms, written as CIF:
```
data_ZnGa4Hg
_cell_length_a 12.9582
_cell_length_b 5.8994
_cell_length_c 6.3505
_cell_angle_alpha 90.00
_cell_angle_beta 98.89
_cell_angle_gamma 90.00
_space_group_name_H-M_alt 'C 1 2/m 1'
_space_group_IT_number 12
loop_
_space_group_symop_operation_xyz
'x,y,z'
'-x,-y,-z'
'-x,y,-z'
'x,-y,z'
'x+1/2,y+1/2,z'
'-x+1/2,-y+1/2,-z'
'-x+1/2,y+1/2,-z'
'x+1/2,-y+1/2,z'
loop_
_atom_site_label
_atom_site_type_symbol
_atom_site_fract_x
_atom_site_fract_y
_atom_site_fract_z
Zn1 Zn 0.0644 0.0000 0.3517
Ga1 Ga 0.0000 0.2713 0.0000
Ga2 Ga 0.1300 0.2588 0.7007
Ga3 Ga 0.2028 0.0000 0.0691
Hg1 Hg 0.1677 0.5000 0.3210
```

Compound: Y2CuBi
Source: Alexandria via LeMat-Bulk
Functional: PBE
Structure: optimized geometry

## Properties
N(E_F): 0.316 states/eV/atom
ΔH_f (0 K): -0.24 eV/atom
DFT total energy: -5.471 eV/atom

Cell and atoms, written as CIF:
```
data_Y2CuBi
_cell_length_a 7.8743
_cell_length_b 7.8743
_cell_length_c 7.1293
_cell_angle_alpha 90.00
_cell_angle_beta 90.00
_cell_angle_gamma 90.00
_space_group_name_H-M_alt 'I -4 2 d'
_space_group_IT_number 122
_space_group_name_Hall 'I -4 2bw'
loop_
_atom_site_label
_atom_site_type_symbol
_atom_site_fract_x
_atom_site_fract_y
_atom_site_fract_z
Y1 Y 0.2121 0.2500 0.1250
Cu1 Cu 0.0000 0.0000 0.0000
Bi1 Bi 0.0000 0.0000 0.5000
```